1.
This record from Alexandria describes an optimized crystal structure of CeTmTlCu. The functional is GGA-PBE.

The structure in extended XYZ format:
```
4
Lattice="5.2198 0.0000 0.0000 2.6099 4.5204 0.0000 2.6099 1.5068 4.2619" Properties=species:S:1:pos:R:3 pbc="T T T"
Cu 2.6099 1.5068 1.0655
Tm 0.0000 0.0000 0.0000
Tl 7.8296 4.5204 3.1964
Ce 5.2198 3.0136 2.1310
```

Formation enthalpy at 0 K = -130 meV/atom
Total energy = -17.39 eV/cell


2.
This record from Alexandria describes an optimized crystal structure of Sc2TeOs. The functional is GGA-PBE.

The structure in extended XYZ format:
```
4
Lattice="-1.8951 2.1554 -2.5964 -3.1828 -2.1311 0.5539 -1.7457 3.7467 4.3845" Properties=species:S:1:pos:R:3 pbc="T T T"
Te -0.7660 1.6441 1.9240
Sc -1.6260 3.4898 4.0838
Sc -3.0029 1.0080 0.1441
Os -4.0471 3.2492 2.7668
```

Raw formation energy = -1.57 eV/f.u.
Total energy = -28.60 eV/cell